Entry 1:
Compound: Tl2Pb2Cl7
Source: Alexandria
Functional: GGA-PBE
Structure: relaxed

The space group is Imm2 (No. 44) and the conventional cell measures 4.2537, 15.5370 and 9.5023 Å, with angles of 90.00, 90.00 and 90.00 degrees. The distinct sites, in fractional coordinates, are Tl at (0.0000, 0.2439, 0.0000), Pb at (0.0000, 0.0000, 0.7476), Pb at (0.0000, 0.5000, 0.7857), Cl at (0.0000, 0.0000, 0.0865), Cl at (0.0000, 0.1048, 0.4822), Cl at (0.0000, 0.3150, 0.7034) and Cl at (0.0000, 0.3762, 0.3084).

Its theoretical density is 5.7 Mg/m³. The density of states at the Fermi level is 7.4 states/eV/f.u. As for the formation energy (no corrections): -0.961 eV/atom. As for the relative energy among the computed polymorphs: 0.000 eV per atom.

---

Entry 2:
Compound: HoEr2Sn
Source: Alexandria
Functional: GGA-PBE
Structure: relaxed

The space group is P4/mmm (No. 123) and the conventional cell measures 4.7734, 4.7734 and 4.7678 Å, with angles of 90.00, 90.00 and 90.00 degrees. The distinct sites, in fractional coordinates, are Ho at (0.0000, 0.0000, 0.0000), Er at (0.0000, 0.5000, 0.5000) and Sn at (0.5000, 0.5000, 0.0000).

The energy of formation is -403 meV/atom. Its theoretical density is 9.4 Mg/m³. The density of states at the Fermi level is 4.8 states/eV/f.u. As for the relative energy among the computed polymorphs: 0.000 eV per atom.

---

Entry 3:
Compound: GaIr2
Source: Alexandria
Functional: GGA-PBE
Structure: relaxed

The space group is Cm (No. 8) and the conventional cell measures 9.9268, 2.8144 and 6.4306 Å, with angles of 90.00, 102.05 and 90.00 degrees. The distinct sites, in fractional coordinates, are Ga at (0.0000, 0.0000, 0.0000), Ga at (0.1991, 0.5000, 0.3681), Ir at (0.0673, 0.0000, 0.6299), Ir at (0.2229, 0.5000, 0.9781), Ir at (0.3419, 0.0000, 0.6796) and Ir at (0.4215, 0.0000, 0.2882).

The energy of formation is -208 meV/atom. Its theoretical density is 17.2 Mg/m³. The density of states at the Fermi level is 1.9 states/eV/f.u.

---

Entry 4:
Compound: CaHfBe2
Source: Alexandria
Functional: GGA-PBE
Structure: relaxed

The space group is I-42d (No. 122) and the conventional cell measures 7.1251, 7.1251 and 6.4888 Å, with angles of 90.00, 90.00 and 90.00 degrees. The distinct sites, in fractional coordinates, are Ca at (0.0000, 0.0000, 0.0000), Hf at (0.0000, 0.0000, 0.5000) and Be at (0.2223, 0.2500, 0.6250).

The energy of formation is 827 meV/atom. Its theoretical density is 4.8 Mg/m³. The density of states at the Fermi level is 2.6 states/eV/f.u. As for the relative energy among the computed polymorphs: 0.458 eV per atom.

---

Entry 5:
Compound: ErNp2S6
Source: Alexandria
Functional: GGA-PBE
Structure: relaxed

The space group is C2/m (No. 12) and the conventional cell measures 13.3536, 5.0921 and 8.7133 Å, with angles of 90.00, 127.43 and 90.00 degrees. The distinct sites, in fractional coordinates, are Er at (0.0000, 0.0000, 0.0000), Np at (0.1829, 0.0000, 0.6083), S at (0.0401, 0.0000, 0.7251), S at (0.1268, 0.5000, 0.0470) and S at (0.2444, 0.5000, 0.6258).

Its theoretical density is 5.9 Mg/m³. The density of states at the Fermi level is 18.9 states/eV/f.u. As for the formation energy (no corrections): -1.276 eV/atom. As for the relative energy among the computed polymorphs: 0.038 eV per atom.

---

Entry 6:
Compound: Pm6SmDy3Er2
Source: Alexandria
Functional: GGA-PBE
Structure: relaxed

The space group is C2/m (No. 12) and the conventional cell measures 6.2415, 10.8075 and 11.8566 Å, with angles of 90.00, 100.07 and 90.00 degrees. The distinct sites, in fractional coordinates, are Pm at (0.2491, 0.1670, 0.2497), Pm at (0.2499, 0.0000, 0.7501), Sm at (0.0000, 0.5000, 0.5000), Dy at (0.0000, 0.0000, 0.0000), Dy at (0.0000, 0.3332, 0.0000) and Er at (0.0000, 0.1667, 0.5000).

The energy of formation is 13 meV/atom. Its theoretical density is 7.8 Mg/m³. The density of states at the Fermi level is 14.3 states/eV/f.u.

---

Entry 7:
Compound: MnGaSiRhSe
Source: Alexandria
Functional: GGA-PBE
Structure: relaxed

The space group is Pm (No. 6) and the conventional cell measures 5.1790, 3.6536 and 5.2403 Å, with angles of 90.00, 117.99 and 90.00 degrees. The distinct sites, in fractional coordinates, are Mn at (0.0000, 0.0000, 0.0000), Ga at (0.4952, 0.0000, 0.0055), Si at (0.8369, 0.5000, 0.6387), Rh at (0.5112, 0.0000, 0.5147) and Se at (0.0939, 0.5000, 0.3543).

Its theoretical density is 6.3 Mg/m³. The density of states at the Fermi level is 2.4 states/eV/f.u. As for the formation energy (no corrections): -0.254 eV/atom. As for the relative energy among the computed polymorphs: 0.025 eV per atom.

---

Entry 8:
Compound: CsErZnSe3
Source: Alexandria
Functional: GGA-PBE
Structure: relaxed

The space group is P2_1/m (No. 11) and the conventional cell measures 4.1568, 10.9504 and 8.4019 Å, with angles of 90.00, 104.32 and 90.00 degrees. The distinct sites, in fractional coordinates, are Cs at (0.2446, 0.2500, 0.4885), Er at (0.5000, 0.0000, 0.0000), Zn at (0.0374, 0.7500, 0.0743), Se at (0.1148, 0.5580, 0.2296) and Se at (0.4444, 0.7500, 0.8885).

Its theoretical density is 5.4 Mg/m³. The density of states at the Fermi level is 0.0 states/eV/f.u. As for the formation energy (no corrections): -1.423 eV/atom.

---

Entry 9:
Compound: ZrReO6
Source: Alexandria
Functional: GGA-PBE
Structure: relaxed

The space group is C2/m (No. 12) and the conventional cell measures 5.0586, 9.3836 and 5.0248 Å, with angles of 90.00, 104.18 and 90.00 degrees. The distinct sites, in fractional coordinates, are Zr at (0.0000, 0.0000, 0.0000), Re at (0.0000, 0.5000, 0.5000), O at (0.2218, 0.3633, 0.7281) and O at (0.2401, 0.5000, 0.2664).

Its theoretical density is 5.4 Mg/m³. The density of states at the Fermi level is 3.9 states/eV/f.u. As for the formation energy (no corrections): -1.775 eV/atom.

---

Entry 10:
Compound: TaTiMoW
Source: Alexandria
Functional: GGA-PBE
Structure: relaxed

The space group is F-43m (No. 216) and the conventional cell measures 6.4144, 6.4144 and 6.4144 Å, with angles of 90.00, 90.00 and 90.00 degrees. The distinct sites, in fractional coordinates, are Ta at (0.0000, 0.0000, 0.0000), Ti at (0.0000, 0.0000, 0.5000), Mo at (0.2500, 0.2500, 0.2500) and W at (0.2500, 0.2500, 0.7500).

The energy of formation is -73 meV/atom. Its theoretical density is 12.8 Mg/m³. The density of states at the Fermi level is 5.8 states/eV/f.u. As for the relative energy among the computed polymorphs: 0.000 eV per atom.

---

Entry 11:
Compound: Ba3Al2Sn3
Source: Alexandria
Functional: GGA-PBE
Structure: relaxed

The space group is Cmcm (No. 63) and the conventional cell measures 4.9320, 13.1169 and 16.4754 Å, with angles of 90.00, 90.00 and 90.00 degrees. The distinct sites, in fractional coordinates, are Ba at (0.0000, 0.0692, 0.1052), Ba at (0.0000, 0.3529, 0.2500), Al at (0.0000, 0.2336, 0.6017), Sn at (0.0000, 0.3503, 0.7500) and Sn at (0.0000, 0.3511, 0.0435).

The energy of formation is -505 meV/atom. Its theoretical density is 5.1 Mg/m³. The density of states at the Fermi level is 3.5 states/eV/f.u. As for the relative energy among the computed polymorphs: 0.000 eV per atom.

---

Entry 12:
Compound: CdS2F
Source: Alexandria
Functional: GGA-PBE
Structure: relaxed

The space group is R-3m (No. 166, hexagonal axes) and the conventional cell measures 3.5720, 3.5720 and 21.4243 Å, with angles of 90.00, 90.00 and 120.00 degrees. The distinct sites, in fractional coordinates, are Cd at (0.0000, 0.0000, 0.0000), S at (0.0000, 0.0000, 0.4058) and F at (0.0000, 0.0000, 0.5000).

Its theoretical density is 4.1 Mg/m³. The density of states at the Fermi level is 4.0 states/eV/f.u. As for the formation energy (no corrections): -0.036 eV/atom. As for the relative energy among the computed polymorphs: 0.414 eV per atom.

---

Entry 13:
Compound: NdSmAg3
Source: Alexandria
Functional: GGA-PBE
Structure: relaxed

The space group is Cmcm (No. 63) and the conventional cell measures 3.6120, 28.4622 and 4.8338 Å, with angles of 90.00, 90.00 and 90.00 degrees. The distinct sites, in fractional coordinates, are Nd at (0.0000, 0.0738, 0.2500), Sm at (0.0000, 0.2090, 0.7500), Ag at (0.0000, 0.3248, 0.7500), Ag at (0.0000, 0.3799, 0.2500) and Ag at (0.0000, 0.4767, 0.2500).

The energy of formation is -249 meV/atom. Its theoretical density is 8.3 Mg/m³. The density of states at the Fermi level is 4.4 states/eV/f.u. As for the relative energy among the computed polymorphs: 0.000 eV per atom.

---

Entry 14:
Compound: YTiP2S
Source: Alexandria
Functional: GGA-PBE
Structure: relaxed

The space group is P4/mmm (No. 123) and the conventional cell measures 5.1468, 5.1468 and 5.0747 Å, with angles of 90.00, 90.00 and 90.00 degrees. The distinct sites, in fractional coordinates, are Y at (0.0000, 0.0000, 0.0000), Ti at (0.5000, 0.5000, 0.5000), P at (0.0000, 0.5000, 0.0000) and S at (0.0000, 0.0000, 0.5000).

Its theoretical density is 2.9 Mg/m³. The density of states at the Fermi level is 6.6 states/eV/f.u. As for the formation energy (no corrections): 0.511 eV/atom. As for the relative energy among the computed polymorphs: 1.214 eV per atom.

---

Entry 15:
Compound: Zn2CoMo
Source: Alexandria
Functional: GGA-PBE
Structure: relaxed

The space group is Cmmm (No. 65) and the conventional cell measures 3.7705, 3.7802 and 7.6445 Å, with angles of 90.00, 90.00 and 90.00 degrees. The distinct sites, in fractional coordinates, are Zn at (0.0000, 0.0000, 0.2275), Co at (0.0000, 0.5000, 0.0000) and Mo at (0.0000, 0.5000, 0.5000).

The energy of formation is 105 meV/atom. Its theoretical density is 8.7 Mg/m³. The density of states at the Fermi level is 5.0 states/eV/f.u. As for the relative energy among the computed polymorphs: 0.107 eV per atom.

---

Entry 16:
Compound: Pr12Dy5Tm
Source: Alexandria
Functional: GGA-PBE
Structure: relaxed

The space group is Cmmm (No. 65) and the conventional cell measures 15.4583, 15.5422 and 5.1850 Å, with angles of 90.00, 90.00 and 90.00 degrees. The distinct sites, in fractional coordinates, are Pr at (0.1639, 0.0000, 0.0000), Pr at (0.1644, 0.1666, 0.5000), Pr at (0.1648, 0.3334, 0.0000), Pr at (0.1651, 0.5000, 0.5000), Dy at (0.0000, 0.1665, 0.0000), Dy at (0.0000, 0.3336, 0.5000), Dy at (0.0000, 0.5000, 0.0000) and Tm at (0.0000, 0.0000, 0.5000).

The energy of formation is 23 meV/atom. Its theoretical density is 7.1 Mg/m³. The density of states at the Fermi level is 29.3 states/eV/f.u.

---

Entry 17:
Compound: GaFe3Pd
Source: Alexandria
Functional: GGA-PBE
Structure: relaxed

The space group is Pm-3m (No. 221) and the conventional cell measures 4.7883, 4.7883 and 4.7883 Å, with angles of 90.00, 90.00 and 90.00 degrees. The distinct sites, in fractional coordinates, are Ga at (0.0000, 0.0000, 0.0000), Fe at (0.0000, 0.5000, 0.5000) and Pd at (0.5000, 0.5000, 0.5000).

The energy of formation is 1158 meV/atom. Its theoretical density is 5.2 Mg/m³. The density of states at the Fermi level is 7.6 states/eV/f.u. As for the relative energy among the computed polymorphs: 0.153 eV per atom.

---

Entry 18:
Compound: Ba3ErAs3
Source: Alexandria
Functional: GGA-PBE
Structure: relaxed

The space group is P2_1/c (No. 14) and the conventional cell measures 9.5660, 8.3427 and 13.3094 Å, with angles of 90.00, 94.84 and 90.00 degrees. The distinct sites, in fractional coordinates, are Ba at (0.0812, 0.1584, 0.1343), Ba at (0.3321, 0.7330, 0.7963), Ba at (0.3956, 0.2312, 0.9237), Er at (0.1640, 0.5930, 0.0557), As at (0.0987, 0.0470, 0.3685), As at (0.2626, 0.6050, 0.5177) and As at (0.3654, 0.0808, 0.6668).

The energy of formation is -1168 meV/atom. Its theoretical density is 5.0 Mg/m³.

---

Entry 19:
Compound: Nd4Y4In
Source: Alexandria
Functional: GGA-PBE
Structure: relaxed

The space group is I4/mmm (No. 139) and the conventional cell measures 10.7560, 10.7560 and 5.0186 Å, with angles of 90.00, 90.00 and 90.00 degrees. The distinct sites, in fractional coordinates, are Nd at (0.1615, 0.1615, 0.0000), Y at (0.0000, 0.3322, 0.5000) and In at (0.0000, 0.0000, 0.5000).

The energy of formation is -76 meV/atom. Its theoretical density is 6.0 Mg/m³. The density of states at the Fermi level is 12.2 states/eV/f.u.

---

Entry 20:
Compound: CuPd4Se
Source: Alexandria
Functional: GGA-PBE
Structure: relaxed

The space group is Pnma (No. 62) and the conventional cell measures 7.1394, 3.0165 and 17.3053 Å, with angles of 90.00, 90.00 and 90.00 degrees. The distinct sites, in fractional coordinates, are Cu at (0.1964, 0.2500, 0.1922), Pd at (0.0454, 0.7500, 0.9291), Pd at (0.0631, 0.2500, 0.3335), Pd at (0.1043, 0.2500, 0.7875), Pd at (0.2103, 0.2500, 0.5741) and Se at (0.1729, 0.7500, 0.4443).

Its theoretical density is 10.1 Mg/m³. The density of states at the Fermi level is 3.7 states/eV/f.u. As for the formation energy (no corrections): -0.095 eV/atom. As for the relative energy among the computed polymorphs: 0.000 eV per atom.

---

Entry 21:
Compound: Ce4Ga3Tc2
Source: Alexandria
Functional: GGA-PBE
Structure: relaxed

The space group is C2/m (No. 12) and the conventional cell measures 14.2583, 4.5685 and 6.1918 Å, with angles of 90.00, 100.28 and 90.00 degrees. The distinct sites, in fractional coordinates, are Ce at (0.0665, 0.0000, 0.3312), Ce at (0.2240, 0.5000, 0.1987), Ga at (0.0000, 0.5000, 0.0000), Ga at (0.1072, 0.5000, 0.6692) and Tc at (0.1213, 0.0000, 0.8973).

The energy of formation is -362 meV/atom. Its theoretical density is 8.1 Mg/m³. The density of states at the Fermi level is 12.4 states/eV/f.u.

---

Entry 22:
Compound: Ti4C2O
Source: Alexandria
Functional: GGA-PBE
Structure: relaxed

The space group is I4/mmm (No. 139) and the conventional cell measures 3.7414, 3.7414 and 11.9116 Å, with angles of 90.00, 90.00 and 90.00 degrees. The distinct sites, in fractional coordinates, are Ti at (0.0000, 0.0000, 0.1841), Ti at (0.0000, 0.5000, 0.0000), C at (0.0000, 0.0000, 0.3638) and O at (0.0000, 0.0000, 0.0000).

Its theoretical density is 4.6 Mg/m³. The density of states at the Fermi level is 7.9 states/eV/f.u. As for the formation energy (no corrections): -0.460 eV/atom. As for the relative energy among the computed polymorphs: 0.792 eV per atom.